# HIrO2, relaxed, DFT PBE
# VASP energy in eV per atom: -5.1965
# N(E_F) in states/eV per cell: 0.4
# Space-group type: No. 225
data_HIrO2
_chemical_formula_sum 'H1 Ir1 O2'
_cell_length_a 3.560
_cell_length_b 3.560
_cell_length_c 3.560
_cell_angle_alpha 60.00
_cell_angle_beta 60.00
_cell_angle_gamma 60.00
_symmetry_space_group_name_H-M 'P 1'
_symmetry_Int_Tables_number 1
_symmetry_space_group_name_Hall 'P 1'
loop_
_atom_site_label
_atom_site_type_symbol
_atom_site_fract_x
_atom_site_fract_y
_atom_site_fract_z
H1 H 0.000 0.000 0.000
Ir1 Ir 0.500 0.500 0.500
O1 O 0.250 0.250 0.250
O2 O 0.750 0.750 0.750

***

# HIrO2, relaxed, DFT PBE
# VASP energy in eV per atom: -5.4503
# N(E_F) in states/eV per cell: 0.0
# Space-group type: No. 122
data_HIrO2
_chemical_formula_sum 'H2 Ir2 O4'
_cell_length_a 4.866
_cell_length_b 4.866
_cell_length_c 4.866
_cell_angle_alpha 127.94
_cell_angle_beta 127.94
_cell_angle_gamma 76.72
_symmetry_space_group_name_H-M 'P 1'
_symmetry_Int_Tables_number 1
_symmetry_space_group_name_Hall 'P 1'
loop_
_atom_site_label
_atom_site_type_symbol
_atom_site_fract_x
_atom_site_fract_y
_atom_site_fract_z
H1 H 0.000 0.000 0.000
H2 H 0.750 0.250 0.500
Ir1 Ir 0.250 0.750 0.500
Ir2 Ir 0.500 0.500 0.000
O1 O 0.043 0.625 0.918
O2 O 0.375 0.293 0.418
O3 O 0.707 0.125 0.082
O4 O 0.875 0.957 0.582

***

Calculated volume / Å³ per cell: 32 70